(1)
A geometry-optimized KSn2As2 structure. Source: Alexandria, functional GGA-PBEsol.

Computed properties:
Uncorrected energy, Ry/atom: -0.3018
Density of states at the Fermi level, states/eV per atom: 0.219
Crystal system: tetragonal
ΔH_f (0 K), eV per atom: -0.13

Cell lengths 6.8407, 6.8407, 6.8407 Å; angles 136.84, 136.84, 62.68 degrees
With the nearest neighbours (Å) after each atom.
Positions (direct):
K (0.0000, 0.0000, 0.0000)  8 Sn 3.86, 10 As 3.93-4.18
Sn (0.2500, 0.7500, 0.5000)  4 As 2.81
Sn (0.7500, 0.2500, 0.5000)  4 As 2.81
As (0.3578, 0.3578, 0.0000)  4 Sn 2.81
As (0.6422, 0.6422, 0.0000)  4 Sn 2.81

(2)
A geometry-optimized K2SrAs structure. Source: Alexandria, functional GGA-PBEsol.

Computed properties:
Uncorrected energy, Ry/atom: -0.1721
Density of states at the Fermi level, states/eV per atom: 1.290
Crystal system: tetragonal
ΔH_f (0 K), eV per atom: -0.04

Cell lengths 4.7878, 4.7878, 6.5846 Å; angles 90.00, 90.00, 90.00 degrees
With the nearest neighbours (Å) after each atom.
Positions (direct):
K (0.0000, 0.0000, 0.2106)  1 K 2.77
K (0.0000, 0.0000, 0.7894)  1 K 2.77
Sr (0.5000, 0.5000, 0.5000)  2 As 3.29
As (0.5000, 0.5000, 0.0000)  2 Sr 3.29, 8 K 3.66

(3)
A geometry-optimized K2SrAs structure. Source: Alexandria, functional GGA-PBEsol.

Computed properties:
Uncorrected energy, Ry/atom: -0.1805
Density of states at the Fermi level, states/eV per atom: 0.557
Crystal system: tetragonal
ΔH_f (0 K), eV per atom: -0.15

Cell lengths 13.2214, 13.2214, 13.2214 Å; angles 159.28, 159.28, 29.47 degrees
With the nearest neighbours (Å) after each atom.
Positions (direct):
K (0.0857, 0.6250, 0.9607)  2 K 3.11
K (0.3750, 0.3357, 0.4607)  2 K 3.11
K (0.6643, 0.1250, 0.0393)  2 K 3.11
K (0.8750, 0.9143, 0.5393)  2 K 3.11
Sr (0.2500, 0.7500, 0.5000)  4 As 3.36, 4 K 3.68
Sr (0.5000, 0.5000, 0.0000)  4 As 3.36, 4 K 3.68
As (0.0000, 0.0000, 0.0000)  4 Sr 3.36, 4 K 3.55
As (0.7500, 0.2500, 0.5000)  4 Sr 3.36, 4 K 3.55

(4)
A geometry-optimized K4SrAs structure. Source: Alexandria, functional GGA-PBEsol.

Computed properties:
Uncorrected energy, Ry/atom: -0.1184
Density of states at the Fermi level, states/eV per atom: 1.023
Crystal system: cubic
ΔH_f (0 K), eV per atom: 0.30

Cell lengths 7.2556, 7.2556, 7.2556 Å; angles 60.00, 60.00, 60.00 degrees
With the nearest neighbours (Å) after each atom.
Positions (direct):
K (0.1221, 0.1221, 0.1221)  6 K 3.54-3.71
K (0.1221, 0.1221, 0.6336)  6 K 3.54-3.71
K (0.1221, 0.6336, 0.1221)  6 K 3.54-3.71
K (0.6336, 0.1221, 0.1221)  6 K 3.54-3.71
Sr (0.5000, 0.5000, 0.5000)  12 K 4.26, 4 As 4.44
As (0.7500, 0.7500, 0.7500)  12 K 4.25, 4 Sr 4.44

(5)
A geometry-optimized KSrAs structure. Source: Alexandria, functional GGA-PBEsol.

Computed properties:
Uncorrected energy, Ry/atom: -0.2574
Crystal system: orthorhombic
ΔH_f (0 K), eV per atom: -0.81

Cell lengths 8.5294, 5.1460, 9.0438 Å; angles 90.00, 90.00, 90.00 degrees
With the nearest neighbours (Å) after each atom.
Positions (direct):
K (0.0166, 0.2500, 0.1720)  5 As 3.38-3.72, 2 Sr 3.68
K (0.4834, 0.7500, 0.6720)  5 As 3.38-3.72, 2 Sr 3.68
K (0.5166, 0.2500, 0.3280)  5 As 3.38-3.72, 2 Sr 3.68
K (0.9834, 0.7500, 0.8280)  5 As 3.38-3.72, 2 Sr 3.68
Sr (0.1524, 0.2500, 0.5840)  4 As 3.08-3.11
Sr (0.3476, 0.7500, 0.0840)  4 As 3.08-3.11
Sr (0.6524, 0.2500, 0.9160)  4 As 3.08-3.11
Sr (0.8476, 0.7500, 0.4160)  4 As 3.08-3.11
As (0.2118, 0.7500, 0.4002)  4 Sr 3.08-3.11, 1 K 3.38
As (0.2882, 0.2500, 0.9002)  4 Sr 3.08-3.11, 1 K 3.38
As (0.7118, 0.7500, 0.0998)  4 Sr 3.08-3.11, 1 K 3.38
As (0.7882, 0.2500, 0.5998)  4 Sr 3.08-3.11, 1 K 3.38

(6)
A geometry-optimized K2SrZnAs structure. Source: Alexandria, functional GGA-PBEsol.

Computed properties:
Uncorrected energy, Ry/atom: -0.1536
Density of states at the Fermi level, states/eV per atom: 0.373
Crystal system: tetragonal
ΔH_f (0 K), eV per atom: 0.07

Cell lengths 6.4910, 6.4910, 4.8646 Å; angles 90.00, 90.00, 90.00 degrees
With the nearest neighbours (Å) after each atom.
Positions (direct):
K (0.0000, 0.5000, 0.0000)  2 As 3.25
K (0.5000, 0.0000, 0.0000)  2 As 3.25
Sr (0.0000, 0.0000, 0.5000)  8 K 4.06
Zn (0.5000, 0.5000, 0.5000)  2 As 2.43
As (0.5000, 0.5000, 0.0000)  2 Zn 2.43

(7)
A geometry-optimized KTa2As structure. Source: Alexandria, functional GGA-PBEsol.

Computed properties:
Uncorrected energy, Ry/atom: -0.5266
Density of states at the Fermi level, states/eV per atom: 1.046
Crystal system: trigonal
ΔH_f (0 K), eV per atom: 0.67

Cell lengths 10.7952, 10.7952, 10.7952 Å; angles 15.89, 15.89, 15.89 degrees
With the nearest neighbours (Å) after each atom.
Positions (direct):
K (0.0000, 0.0000, 0.0000)  6 K 2.98
Ta (0.2329, 0.2329, 0.2329)  3 As 2.73, 6 Ta 2.98
Ta (0.7671, 0.7671, 0.7671)  3 As 2.73, 6 Ta 2.98
As (0.5000, 0.5000, 0.5000)  6 Ta 2.73, 6 As 2.98

(8)
A geometry-optimized KTa2As structure. Source: Alexandria, functional GGA-PBEsol.

Computed properties:
Uncorrected energy, Ry/atom: -0.5544
Density of states at the Fermi level, states/eV per atom: 0.550
Crystal system: tetragonal
ΔH_f (0 K), eV per atom: 0.29

Cell lengths 2.9000, 2.9000, 9.8940 Å; angles 90.00, 90.00, 90.00 degrees
With the nearest neighbours (Å) after each atom.
Positions (direct):
K (0.0000, 0.0000, 0.0000)  4 K 2.90
Ta (0.0000, 0.0000, 0.5475)  4 As 2.80, 8 Ta 2.90-2.99
Ta (0.5000, 0.5000, 0.3279)  8 Ta 2.90-2.99
As (0.5000, 0.5000, 0.7405)  4 Ta 2.80, 4 As 2.90

(9)
A geometry-optimized KTa2As structure. Source: Alexandria, functional GGA-PBEsol.

Computed properties:
Uncorrected energy, Ry/atom: -0.4972
Density of states at the Fermi level, states/eV per atom: 1.054
Crystal system: orthorhombic
ΔH_f (0 K), eV per atom: 1.07

Cell lengths 3.4856, 4.6335, 4.8308 Å; angles 90.00, 90.00, 90.00 degrees
With the nearest neighbours (Å) after each atom.
Positions (direct):
K (0.0000, 0.0000, 0.0000)  4 As 2.90, 4 Ta 2.98
Ta (0.0000, 0.5000, 0.5000)  4 Ta 2.90, 4 As 2.98
Ta (0.5000, 0.0000, 0.5000)  4 Ta 2.90, 4 K 2.98
As (0.5000, 0.5000, 0.0000)  4 K 2.90, 4 Ta 2.98

(10)
A geometry-optimized KTa2TcAs structure. Source: Alexandria, functional GGA-PBEsol.

Computed properties:
Uncorrected energy, Ry/atom: -0.5147
Density of states at the Fermi level, states/eV per atom: 0.925
Crystal system: tetragonal
ΔH_f (0 K), eV per atom: 1.52

Cell lengths 4.7186, 4.7186, 5.4577 Å; angles 90.00, 90.00, 90.00 degrees
With the nearest neighbours (Å) after each atom.
Positions (direct):
K (0.0000, 0.0000, 0.0000)  2 Tc 2.73
Ta (0.0000, 0.5000, 0.5000)  2 Tc 2.36
Ta (0.5000, 0.0000, 0.5000)  2 Tc 2.36
Tc (0.0000, 0.0000, 0.5000)  4 Ta 2.36
As (0.5000, 0.5000, 0.0000)  4 K 3.34, 8 Ta 3.61

(11)
A geometry-optimized KTc2As2 structure. Source: Alexandria, functional GGA-PBEsol.

Computed properties:
Uncorrected energy, Ry/atom: -0.5145
Density of states at the Fermi level, states/eV per atom: 0.875
Crystal system: tetragonal
ΔH_f (0 K), eV per atom: -0.22

Cell lengths 7.7692, 7.7692, 7.7692 Å; angles 151.67, 151.67, 40.49 degrees
With the nearest neighbours (Å) after each atom.
Positions (direct):
K (0.0000, 0.0000, 0.0000)  8 As 3.36
Tc (0.2500, 0.7500, 0.5000)  4 As 2.50, 4 Tc 2.69
Tc (0.7500, 0.2500, 0.5000)  4 As 2.50, 4 Tc 2.69
As (0.3615, 0.3615, 0.0000)  4 Tc 2.50
As (0.6385, 0.6385, 0.0000)  4 Tc 2.50

(12)
A geometry-optimized K2TcAs structure. Source: Alexandria, functional GGA-PBEsol.

Computed properties:
Uncorrected energy, Ry/atom: -0.2866
Density of states at the Fermi level, states/eV per atom: 0.581
Crystal system: tetragonal
ΔH_f (0 K), eV per atom: 0.76

Cell lengths 2.7671, 2.7671, 10.9925 Å; angles 90.00, 90.00, 90.00 degrees
With the nearest neighbours (Å) after each atom.
Positions (direct):
K (0.0000, 0.0000, 0.2409)  4 K 2.77
K (0.0000, 0.0000, 0.7591)  4 K 2.77
Tc (0.5000, 0.5000, 0.5000)  4 Tc 2.77
As (0.5000, 0.5000, 0.0000)  4 As 2.77